# TlZnAgSe2 GGA-PBE optimized geometry
# - DFT total energy: -3.00 eV/atom
# - ρ: 6.29 g/cm3
# - Formation energy from raw total energies: -0.304 eV/atom
data_TlZnAgSe2
_chemical_formula_sum 'Tl2 Zn2 Ag2 Se4'
_cell_length_a 7.457
_cell_length_b 5.199
_cell_length_c 7.459
_cell_angle_alpha 90.00
_cell_angle_beta 101.84
_cell_angle_gamma 90.00
_space_group_name_H-M_alt 'P 1 2/c 1'
_space_group_IT_number 13
loop_
_space_group_symop_operation_xyz
'x,y,z'
'-x,-y,-z'
'-x,y,-z+1/2'
'x,-y,z+1/2'
loop_
_atom_site_label
_atom_site_fract_x
_atom_site_fract_y
_atom_site_fract_z
Tl1 0.000 0.182 0.250
Zn1 0.500 0.000 0.000
Ag1 0.500 0.461 0.250
Se1 0.263 0.287 0.942

=====

# ZrTl2Ag2Se4 GGA-PBE optimized geometry
# - DFT total energy: -4.26 eV/atom
# - ρ: 7.35 g/cm3
# - Formation energy from raw total energies: -0.607 eV/atom
data_ZrTl2Ag2Se4
_chemical_formula_sum 'Zr2 Tl4 Ag4 Se8'
_cell_length_a 15.320
_cell_length_b 4.063
_cell_length_c 8.013
_cell_angle_alpha 90.00
_cell_angle_beta 110.83
_cell_angle_gamma 90.00
_space_group_name_H-M_alt 'C 1 2/m 1'
_space_group_IT_number 12
loop_
_space_group_symop_operation_xyz
'x,y,z'
'-x,-y,-z'
'-x,y,-z'
'x,-y,z'
'x+1/2,y+1/2,z'
'-x+1/2,-y+1/2,-z'
'-x+1/2,y+1/2,-z'
'x+1/2,-y+1/2,z'
loop_
_atom_site_label
_atom_site_fract_x
_atom_site_fract_y
_atom_site_fract_z
Zr1 0.000 0.000 0.000
Tl1 0.140 0.000 0.583
Ag1 0.178 0.500 0.971
Se1 0.003 0.500 0.766
Se2 0.190 0.000 0.202

=====

# Zr2Tl3AgSe6 GGA-PBE optimized geometry
# - DFT total energy: -4.82 eV/atom
# - ρ: 7.06 g/cm3
# - Formation energy from raw total energies: -0.821 eV/atom
data_Zr2Tl3AgSe6
_chemical_formula_sum 'Zr4 Tl6 Ag2 Se12'
_cell_length_a 6.956
_cell_length_b 12.058
_cell_length_c 8.039
_cell_angle_alpha 90.00
_cell_angle_beta 106.24
_cell_angle_gamma 90.00
_space_group_name_H-M_alt 'C 1 2/m 1'
_space_group_IT_number 12
loop_
_space_group_symop_operation_xyz
'x,y,z'
'-x,-y,-z'
'-x,y,-z'
'x,-y,z'
'x+1/2,y+1/2,z'
'-x+1/2,-y+1/2,-z'
'-x+1/2,y+1/2,-z'
'x+1/2,-y+1/2,z'
loop_
_atom_site_label
_atom_site_fract_x
_atom_site_fract_y
_atom_site_fract_z
Zr1 0.000 0.168 0.000
Tl1 0.000 0.000 0.500
Tl2 0.000 0.342 0.500
Ag1 0.000 0.500 0.000
Se1 0.213 0.000 0.193
Se2 0.247 0.321 0.205

=====

# TmAgSe GGA-PBE optimized geometry
# - DFT total energy: -4.35 eV/atom
# - ρ: 7.62 g/cm3
# - Formation energy from raw total energies: -0.747 eV/atom
data_TmAgSe
_chemical_formula_sum 'Tm1 Ag1 Se1'
_cell_length_a 3.699
_cell_length_b 4.241
_cell_length_c 4.939
_cell_angle_alpha 90.00
_cell_angle_beta 90.00
_cell_angle_gamma 90.00
_space_group_name_H-M_alt 'P m m m'
_space_group_IT_number 47
loop_
_space_group_symop_operation_xyz
'x,y,z'
'-x,-y,-z'
'-x,-y,z'
'x,y,-z'
'x,-y,-z'
'-x,y,z'
'-x,y,-z'
'x,-y,z'
loop_
_atom_site_label
_atom_site_fract_x
_atom_site_fract_y
_atom_site_fract_z
Tm1 0.000 0.000 0.000
Ag1 0.500 0.000 0.500
Se1 0.500 0.500 0.000

=====

# Tm2AgSe3 GGA-PBE optimized geometry
# - DFT total energy: -4.86 eV/atom
# - ρ: 7.30 g/cm3
# - Formation energy from raw total energies: -1.157 eV/atom
data_Tm2AgSe3
_chemical_formula_sum 'Tm4 Ag2 Se6'
_cell_length_a 5.621
_cell_length_b 13.638
_cell_length_c 4.050
_cell_angle_alpha 90.00
_cell_angle_beta 90.00
_cell_angle_gamma 90.00
_space_group_name_H-M_alt 'C m m m'
_space_group_IT_number 65
_space_group_name_Hall '-C 2 2'
loop_
_atom_site_label
_atom_site_fract_x
_atom_site_fract_y
_atom_site_fract_z
Tm1 0.000 0.145 0.000
Ag1 0.000 0.500 0.500
Se1 0.000 0.000 0.500
Se2 0.000 0.346 0.000

=====

# Tm5AgSe4 GGA-PBE optimized geometry
# - DFT total energy: -5.29 eV/atom
# - ρ: 8.92 g/cm3
# - Formation energy from raw total energies: -1.378 eV/atom
data_Tm5AgSe4
_chemical_formula_sum 'Tm10 Ag2 Se8'
_cell_length_a 13.683
_cell_length_b 3.971
_cell_length_c 10.070
_cell_angle_alpha 90.00
_cell_angle_beta 120.29
_cell_angle_gamma 90.00
_space_group_name_H-M_alt 'C 1 2/m 1'
_space_group_IT_number 12
loop_
_space_group_symop_operation_xyz
'x,y,z'
'-x,-y,-z'
'-x,y,-z'
'x,-y,z'
'x+1/2,y+1/2,z'
'-x+1/2,-y+1/2,-z'
'-x+1/2,y+1/2,-z'
'x+1/2,-y+1/2,z'
loop_
_atom_site_label
_atom_site_fract_x
_atom_site_fract_y
_atom_site_fract_z
Tm1 0.000 0.000 0.000
Tm2 0.100 0.500 0.399
Tm3 0.197 0.000 0.796
Ag1 0.000 0.000 0.500
Se1 0.104 0.500 0.908
Se2 0.198 0.000 0.297

=====

# TmAg3Se3 GGA-PBE optimized geometry
# - DFT total energy: -4.05 eV/atom
# - ρ: 7.25 g/cm3
# - Formation energy from raw total energies: -0.693 eV/atom
data_TmAg3Se3
_chemical_formula_sum 'Tm6 Ag18 Se18'
_cell_length_a 7.4721
_cell_length_b 7.4721
_cell_length_c 20.7397
_cell_angle_alpha 90.00
_cell_angle_beta 90.00
_cell_angle_gamma 120.00
_space_group_name_H-M_alt 'R -3'
_space_group_IT_number 148
_space_group_name_Hall '-R 3'
loop_
_atom_site_label
_atom_site_fract_x
_atom_site_fract_y
_atom_site_fract_z
Tm1 0.0000 0.0000 0.1667
Ag1 0.0038 0.3428 0.3726
Se1 0.0011 0.6613 0.4289

=====

# Tm2AgSe4 GGA-PBE optimized geometry
# - DFT total energy: -4.89 eV/atom
# - ρ: 7.59 g/cm3
# - Formation energy from raw total energies: -1.210 eV/atom
data_Tm2AgSe4
_chemical_formula_sum 'Tm4 Ag2 Se8'
_cell_length_a 6.885
_cell_length_b 5.615
_cell_length_c 8.727
_cell_angle_alpha 90.00
_cell_angle_beta 98.79
_cell_angle_gamma 90.00
_space_group_name_H-M_alt 'P 1 21/m 1'
_space_group_IT_number 11
loop_
_space_group_symop_operation_xyz
'x,y,z'
'-x,-y,-z'
'-x,y+1/2,-z'
'x,-y+1/2,z'
loop_
_atom_site_label
_atom_site_fract_x
_atom_site_fract_y
_atom_site_fract_z
Tm1 0.152 0.250 0.352
Tm2 0.236 0.250 0.933
Ag1 0.383 0.750 0.530
Se1 0.019 0.750 0.373
Se2 0.098 0.750 0.914
Se3 0.452 0.505 0.212